# 1
# Sr2InNiSn

A relaxed structure of Sr2InNiSn (PBE, Alexandria). Values from VASP.

```
&SYSTEM
  ibrav = 0, nat = 5, ntyp = 4
/
ATOMIC_SPECIES
In 114.82 In.upf
Sr 87.62 Sr.upf
Ni 58.69 Ni.upf
Sn 118.71 Sn.upf
ATOMIC_POSITIONS crystal
In 0.500 0.500 0.500
Sr 0.000 0.500 0.000
Ni 0.000 0.000 0.000
Sr 0.500 0.000 0.000
Sn 0.000 0.000 0.500
CELL_PARAMETERS angstrom
5.749 0.000 0.000
0.000 5.749 0.000
0.000 0.000 4.821
```

Summary:
symmetry	No. 123
ΔH_f (0 K)	-1.46	eV/f.u.
ρ	4.9	g/cm³
VASP energy	-3.4692	eV per atom

---

# 2
# CaMgAg

A relaxed structure of CaMgAg (PBE, Alexandria). Values from VASP.

```
&SYSTEM
  ibrav = 0, nat = 3, ntyp = 3
/
ATOMIC_SPECIES
Ca 40.08 Ca.upf
Ag 107.87 Ag.upf
Mg 24.30 Mg.upf
ATOMIC_POSITIONS crystal
Ca 0.667 0.333 0.297
Ag 0.000 0.000 0.965
Mg 0.333 0.667 0.738
CELL_PARAMETERS angstrom
-1.432 -3.827 -0.064
3.348 0.965 -2.135
3.403 -1.353 4.726
```

Summary:
symmetry	No. 156
ΔH_f (0 K)	-0.08	eV/f.u.
ρ	3.3	g/cm³
VASP energy	-2.1744	eV per atom

---

# 3
# CaNdPtRh

A relaxed structure of CaNdPtRh (PBE, Alexandria). Values from VASP.

```
&SYSTEM
  ibrav = 0, nat = 4, ntyp = 4
/
ATOMIC_SPECIES
Nd 144.24 Nd.upf
Ca 40.08 Ca.upf
Pt 195.08 Pt.upf
Rh 102.91 Rh.upf
ATOMIC_POSITIONS crystal
Nd 0.858 0.500 0.716
Ca 0.142 0.000 0.284
Pt 0.580 0.500 0.161
Rh 0.420 0.000 0.839
CELL_PARAMETERS angstrom
3.977 0.000 0.000
0.000 4.263 0.000
-1.989 0.000 5.468
```

Summary:
symmetry	No. 38
ΔH_f (0 K)	-3.12	eV/f.u.
energy above the lowest structure with this stoichiometry	0	meV/atom
ρ	8.6	g/cm³
VASP energy	-5.8211	eV per atom

---

# 4
# DyTmCdTc

A relaxed structure of DyTmCdTc (PBE, Alexandria). Values from VASP.

```
&SYSTEM
  ibrav = 0, nat = 4, ntyp = 4
/
ATOMIC_SPECIES
Cd 112.41 Cd.upf
Dy 162.50 Dy.upf
Tc 98.00 Tc.upf
Tm 168.93 Tm.upf
ATOMIC_POSITIONS crystal
Cd 0.000 0.000 0.000
Dy 0.750 0.750 0.750
Tc 0.500 0.500 0.500
Tm 0.250 0.250 0.250
CELL_PARAMETERS angstrom
5.008 0.000 0.000
2.504 4.337 0.000
2.504 1.446 4.089
```

Summary:
symmetry	No. 216
ΔH_f (0 K)	-0.46	eV/f.u.
ρ	10.1	g/cm³
VASP energy	-5.2027	eV per atom

---

# 5
# KMg14Al

A relaxed structure of KMg14Al (PBE, Alexandria). Values from VASP.

```
&SYSTEM
  ibrav = 0, nat = 16, ntyp = 3
/
ATOMIC_SPECIES
Mg 24.30 Mg.upf
K 39.10 K.upf
Al 26.98 Al.upf
ATOMIC_POSITIONS crystal
Mg 0.666 0.334 0.738
Mg 0.158 0.326 0.243
K 0.335 0.665 0.500
Mg 0.674 0.842 0.243
Mg 0.161 0.839 0.762
Mg 0.342 0.170 0.000
Mg 0.830 0.658 0.000
Mg 0.666 0.334 0.262
Mg 0.161 0.839 0.238
Mg 0.336 0.664 0.000
Mg 0.842 0.678 0.500
Mg 0.158 0.326 0.757
Mg 0.835 0.165 0.000
Mg 0.322 0.158 0.500
Mg 0.674 0.842 0.757
Al 0.840 0.160 0.500
CELL_PARAMETERS angstrom
-6.105 2.094 0.051
1.773 -4.396 4.380
2.699 7.704 6.639
```

Summary:
symmetry	No. 38
ΔH_f (0 K)	1.57	eV/f.u.
energy above the lowest structure with this stoichiometry	0	meV/atom
ρ	1.7	g/cm³
VASP energy	-1.5999	eV per atom

---

# 6
# NiTePd

A relaxed structure of NiTePd (PBE, Alexandria). Values from VASP.

```
&SYSTEM
  ibrav = 0, nat = 3, ntyp = 3
/
ATOMIC_SPECIES
Pd 106.42 Pd.upf
Ni 58.69 Ni.upf
Te 127.60 Te.upf
ATOMIC_POSITIONS crystal
Pd 0.996 0.996 0.992
Ni 0.335 0.335 0.671
Te 0.668 0.668 0.337
CELL_PARAMETERS angstrom
-0.378 2.610 -2.338
0.076 -2.345 -2.630
-3.840 -0.511 2.706
```

Summary:
formation energy without anion corrections	-6.75	kJ per mole of atoms
symmetry	No. 107
energy above the lowest structure with this stoichiometry	184	meV/atom
ρ	9.7	g/cm³
VASP energy	-4.7752	eV per atom

---

# 7
# GaCo

A relaxed structure of GaCo (PBE, Alexandria). Values from VASP.

```
&SYSTEM
  ibrav = 0, nat = 12, ntyp = 2
/
ATOMIC_SPECIES
Co 58.93 Co.upf
Ga 69.72 Ga.upf
ATOMIC_POSITIONS crystal
Co 0.750 0.500 0.000
Ga 0.250 0.000 0.500
Ga 0.500 0.750 0.000
Co 0.000 0.750 0.500
Co 0.000 0.250 0.500
Ga 0.750 0.000 0.500
Co 0.500 0.000 0.750
Ga 0.500 0.250 0.000
Ga 0.000 0.500 0.250
Ga 0.000 0.500 0.750
Co 0.250 0.500 0.000
Co 0.500 0.000 0.250
CELL_PARAMETERS angstrom
6.529 0.000 0.000
0.000 6.529 0.000
0.000 0.000 6.529
```

Summary:
symmetry	No. 223
ΔH_f (0 K)	1.72	eV/f.u.
ρ	4.6	g/cm³
VASP energy	-4.2073	eV per atom

---

# 8
# MgCdPtN2

A relaxed structure of MgCdPtN2 (PBE, Alexandria). Values from VASP.

```
&SYSTEM
  ibrav = 0, nat = 5, ntyp = 4
/
ATOMIC_SPECIES
Pt 195.08 Pt.upf
N 14.01 N.upf
Cd 112.41 Cd.upf
Mg 24.30 Mg.upf
ATOMIC_POSITIONS crystal
Pt 0.000 0.000 0.000
N 0.000 0.000 0.500
N 0.500 0.000 0.000
Cd 0.000 0.500 0.000
Mg 0.500 0.500 0.500
CELL_PARAMETERS angstrom
-1.275 0.602 3.592
4.304 -3.850 2.173
2.453 2.954 0.376
```

Summary:
formation energy without anion corrections	101.13	kJ per mole of atoms
symmetry	No. 123
energy above the lowest structure with this stoichiometry	0	meV/atom
ρ	6.5	g/cm³
VASP energy	-3.9921	eV per atom